Pr2TmBi: relaxed, PBE.

a b c (Å): 4.9879 4.9685 4.9685
angles (deg): 90.00 90.00 90.00
With the nearest neighbours (Å) after each atom.
Fractional coordinates of all 4 atoms:
Pr: 0.0000 0.0000 0.5000  4 Pr 3.51, 4 Tm 3.52, 4 Bi 3.52
Pr: 0.0000 0.5000 0.0000  4 Pr 3.51, 4 Bi 3.52, 4 Tm 3.52
Bi: 0.5000 0.0000 0.0000  4 Tm 3.51, 8 Pr 3.52
Tm: 0.5000 0.5000 0.5000  4 Bi 3.51, 8 Pr 3.52

Properties
Magnetization in μB per atom: 0.00
Total DFT energy (no corrections) in eV per atom: -4.864
Polymorph energy (0 for the lowest one) in meV/atom: 7
Formation energy in meV per atom: -386